No. 1
{
  "formula": "TeAs2SeCl",
  "functional": "PBE-GGA",
  "state": "optimized geometry",
  "e_tot_ev_per_cell": -12.98,
  "e_form_raw_ev_per_atom": 0.959,
  "space_group": "P4/mmm",
  "cell": [[4.949, 0.000, 0.000], [0.000, 4.949, 0.000], [0.000, 0.000, 5.103]],
  "species": ["Te", "As", "As", "Se", "Cl"],
  "fractional_positions": [[0.000, 0.000, 0.000], [0.000, 0.500, 0.500], [0.500, 0.000, 0.500], [0.500, 0.500, 0.000], [0.500, 0.500, 0.500]]
}

---

No. 2
{
  "formula": "Ca2InBi3",
  "functional": "PBE-GGA",
  "state": "optimized geometry",
  "e_tot_ev_per_cell": -42.35,
  "space_group": "C2/c",
  "ef_ev_per_atom": -0.465,
  "cell": [[8.799, -3.293, 0.000], [8.799, 3.293, 0.000], [-1.086, 0.000, 6.428]],
  "species": ["Ca", "Ca", "Ca", "Ca", "In", "In", "Bi", "Bi", "Bi", "Bi", "Bi", "Bi"],
  "fractional_positions": [[0.017, 0.300, 0.069], [0.300, 0.017, 0.569], [0.700, 0.983, 0.431], [0.983, 0.700, 0.931], [0.481, 0.519, 0.750], [0.519, 0.481, 0.250], [0.014, 0.986, 0.250], [0.185, 0.456, 0.421], [0.456, 0.185, 0.921], [0.544, 0.815, 0.079], [0.815, 0.544, 0.579], [0.986, 0.014, 0.750]]
}

---

No. 3
{
  "formula": "Rb2ZrBAs",
  "functional": "PBE-GGA",
  "state": "optimized geometry",
  "e_tot_ev_per_cell": -16.14,
  "space_group": "P4/mmm",
  "ef_ev_per_atom": 1.134,
  "cell": [[7.252, 0.000, 0.000], [0.000, 7.252, 0.000], [0.000, 0.000, 3.728]],
  "species": ["Rb", "Rb", "Zr", "B", "As"],
  "fractional_positions": [[0.000, 0.500, 0.000], [0.500, 0.000, 0.000], [0.000, 0.000, 0.500], [0.500, 0.500, 0.500], [0.500, 0.500, 0.000]]
}

---

No. 4
{
  "formula": "TlZnGaBr4",
  "functional": "PBE-GGA",
  "state": "optimized geometry",
  "e_tot_ev_per_cell": -37.64,
  "e_form_raw_ev_per_atom": -0.780,
  "space_group": "P2_1/m",
  "cell": [[7.344, 0.000, 0.000], [0.000, 7.572, 0.000], [-2.841, 0.000, 8.608]],
  "species": ["Tl", "Tl", "Zn", "Zn", "Ga", "Ga", "Br", "Br", "Br", "Br", "Br", "Br", "Br", "Br"],
  "fractional_positions": [[0.249, 0.250, 0.058], [0.751, 0.750, 0.942], [0.229, 0.750, 0.309], [0.771, 0.250, 0.691], [0.233, 0.250, 0.544], [0.767, 0.750, 0.456], [0.012, 0.003, 0.254], [0.012, 0.497, 0.254], [0.428, 0.750, 0.140], [0.433, 0.750, 0.579], [0.567, 0.250, 0.421], [0.572, 0.250, 0.860], [0.988, 0.503, 0.746], [0.988, 0.997, 0.746]]
}

---

Sequential DOS(E_F) output: 5.2, 2.9, 6.2, 0.0 states/eV/f.u.